Computed, not measured: an optimized crystal structure of ZrPAuS2 at the PBE level of DFT.

a = 4.7472 Å, b = 4.7472 Å, c = 4.7465 Å
α = 90.00°, β = 90.00°, γ = 90.00°
Last column: nearest neighbours and their distance in Å.
Atoms (fractional coordinates):
S: 0.0000 0.5000 0.0000  2 Au 2.37
S: 0.5000 0.0000 0.0000  2 Au 2.37
Au: 0.0000 0.0000 0.0000  2 P 2.37, 4 S 2.37
Zr: 0.5000 0.5000 0.5000  8 S 3.36, 4 P 3.36
P: 0.0000 0.0000 0.5000  2 Au 2.37

Formation energy without anion corrections (eV/atom): 0.482
Total magnetization (Bohr magnetons per cell): 0.00
E_tot (Ha/atom): -0.1696

Computed, not measured: an optimized crystal structure of ZrPAuS2 at the PBE level of DFT.

a = 4.9124 Å, b = 4.9124 Å, c = 5.1849 Å
α = 90.00°, β = 90.00°, γ = 90.00°
Last column: nearest neighbours and their distance in Å.
Atoms (fractional coordinates):
Au: 0.5000 0.5000 0.5000  4 P 3.47, 8 S 3.57
Zr: 0.0000 0.0000 0.0000  4 S 2.46, 2 P 2.59
S: 0.5000 0.0000 0.0000  2 Zr 2.46
S: 0.0000 0.5000 0.0000  2 Zr 2.46
P: 0.0000 0.0000 0.5000  2 Zr 2.59

Formation energy without anion corrections (eV/atom): 0.165
Total magnetization (Bohr magnetons per cell): 0.70
E_tot (Ha/atom): -0.1813

Computed, not measured: an optimized crystal structure of Zr2PAuS at the PBE level of DFT.

a = 4.9440 Å, b = 4.4289 Å, c = 4.9440 Å
α = 90.00°, β = 90.00°, γ = 90.00°
Last column: nearest neighbours and their distance in Å.
Atoms (fractional coordinates):
P: 0.0000 0.0000 0.0000  2 S 2.21, 4 Zr 2.47
Zr: 0.5000 0.0000 0.0000  2 P 2.47
Zr: 0.0000 0.0000 0.5000  2 P 2.47
S: 0.0000 0.5000 0.0000  2 P 2.21
Au: 0.5000 0.5000 0.5000  8 Zr 3.32, 4 S 3.50

Formation energy without anion corrections (eV/atom): 0.000
Total magnetization (Bohr magnetons per cell): 0.00
E_tot (Ha/atom): -0.2198

Computed, not measured: an optimized crystal structure of ZrP2AuS at the PBE level of DFT.

a = 5.0696 Å, b = 5.0696 Å, c = 4.8648 Å
α = 90.00°, β = 90.00°, γ = 90.00°
Last column: nearest neighbours and their distance in Å.
Atoms (fractional coordinates):
Zr: 0.0000 0.0000 0.0000  2 S 2.43, 4 P 2.53
P: 0.5000 0.0000 0.0000  2 Zr 2.53
P: 0.0000 0.5000 0.0000  2 Zr 2.53
Au: 0.5000 0.5000 0.5000  8 P 3.51, 4 S 3.58
S: 0.0000 0.0000 0.5000  2 Zr 2.43

Formation energy without anion corrections (eV/atom): 0.429
Total magnetization (Bohr magnetons per cell): 0.00
E_tot (Ha/atom): -0.1810

Computed, not measured: an optimized crystal structure of ZrP2AuS at the PBE level of DFT.

a = 4.7101 Å, b = 4.7101 Å, c = 4.8100 Å
α = 90.00°, β = 90.00°, γ = 90.00°
Last column: nearest neighbours and their distance in Å.
Atoms (fractional coordinates):
P: 0.5000 0.0000 0.0000  2 Au 2.36
P: 0.0000 0.5000 0.0000  2 Au 2.36
S: 0.0000 0.0000 0.5000  2 Au 2.40
Zr: 0.5000 0.5000 0.5000  4 S 3.33, 8 P 3.37
Au: 0.0000 0.0000 0.0000  4 P 2.36, 2 S 2.40

Formation energy without anion corrections (eV/atom): 0.624
Total magnetization (Bohr magnetons per cell): 0.00
E_tot (Ha/atom): -0.1739

Computed, not measured: an optimized crystal structure of SbPAu2 at the PBE level of DFT.

a = 3.2043 Å, b = 3.2043 Å, c = 7.6856 Å
α = 90.00°, β = 90.00°, γ = 90.00°
Last column: nearest neighbours and their distance in Å.
Atoms (fractional coordinates):
P: 0.5000 0.5000 0.0000  8 Au 2.79
Au: 0.0000 0.0000 0.2124  4 P 2.79
Au: 0.0000 0.0000 0.7876  4 P 2.79
Sb: 0.5000 0.5000 0.5000  8 Au 3.17, 4 Sb 3.20

Formation energy without anion corrections (eV/atom): 0.325
Total magnetization (Bohr magnetons per cell): 0.00
E_tot (Ha/atom): -0.1358

Computed, not measured: an optimized crystal structure of SbP2Au at the PBE level of DFT.

a = 5.6613 Å, b = 5.6613 Å, c = 5.3927 Å
α = 66.16°, β = 66.16°, γ = 32.27°
Last column: nearest neighbours and their distance in Å.
Atoms (fractional coordinates):
P: 0.9846 0.9846 0.1177  2 P 2.24
P: 0.5154 0.5154 0.3823  2 P 2.24
Sb: 0.7500 0.7500 0.7500  4 Au 3.12, 2 Sb 3.15, 6 P 3.15-3.29
Au: 0.2500 0.2500 0.2500  4 P 2.82, 4 Sb 3.12, 2 Au 3.15

Formation energy without anion corrections (eV/atom): 0.337
Total magnetization (Bohr magnetons per cell): 0.00
E_tot (Ha/atom): -0.1550

Computed, not measured: an optimized crystal structure of SbP2Au at the PBE level of DFT.

a = 3.5798 Å, b = 3.5764 Å, c = 6.2513 Å
α = 90.00°, β = 90.00°, γ = 90.00°
Last column: nearest neighbours and their distance in Å.
Atoms (fractional coordinates):
P: 0.0000 0.0000 0.9252  1 P 2.19
P: 0.0000 0.0000 0.5748  1 P 2.19
Au: 0.5000 0.5000 0.7500  8 P 2.76
Sb: 0.5000 0.5000 0.2500  2 Au 3.13, 8 P 3.24

Formation energy without anion corrections (eV/atom): 0.440
Total magnetization (Bohr magnetons per cell): 0.00
E_tot (Ha/atom): -0.1512

Computed, not measured: an optimized crystal structure of SbPAu2 at the PBE level of DFT.

a = 3.0080 Å, b = 3.8128 Å, c = 7.3921 Å
α = 90.00°, β = 90.00°, γ = 90.00°
Last column: nearest neighbours and their distance in Å.
Atoms (fractional coordinates):
P: 0.0000 0.0000 0.4052  5 Au 2.59-2.83
Au: 0.0000 0.0000 0.0222  1 P 2.83, 4 Sb 2.97, 6 Au 3.01-3.09
Au: 0.5000 0.5000 0.2816  4 P 2.59
Sb: 0.5000 0.5000 0.7910  4 Au 2.97, 2 Sb 3.01

Formation energy without anion corrections (eV/atom): 0.253
Total magnetization (Bohr magnetons per cell): 0.00
E_tot (Ha/atom): -0.1385

Computed, not measured: an optimized crystal structure of SbP2Au at the PBE level of DFT.

a = 4.8051 Å, b = 4.8051 Å, c = 4.8051 Å
α = 122.00°, β = 122.00°, γ = 86.56°
Last column: nearest neighbours and their distance in Å.
Atoms (fractional coordinates):
Sb: 0.5000 0.5000 0.0000  4 Au 2.91, 4 P 2.91
Au: 0.7500 0.2500 0.5000  4 P 2.91, 4 Sb 2.91
P: 0.2500 0.7500 0.5000  4 Sb 2.91, 4 P 2.91
P: 0.0000 0.0000 0.0000  4 P 2.91, 4 Au 2.91

Formation energy without anion corrections (eV/atom): 0.591
Total magnetization (Bohr magnetons per cell): 0.00
E_tot (Ha/atom): -0.1457

Computed, not measured: an optimized crystal structure of SbP2Au at the PBE level of DFT.

a = 4.6654 Å, b = 4.6654 Å, c = 4.6642 Å
α = 69.81°, β = 69.81°, γ = 108.02°
Last column: nearest neighbours and their distance in Å.
Atoms (fractional coordinates):
Au: 0.0000 0.5000 0.5000  4 P 2.67, 2 Sb 2.74
Sb: 0.5000 0.0000 0.5000  4 P 2.67, 2 Au 2.74
P: 0.5000 0.5000 0.0000  2 Sb 2.67, 2 Au 2.67, 2 P 2.74
P: 0.0000 0.0000 0.0000  2 Au 2.67, 2 Sb 2.67, 2 P 2.74

Formation energy without anion corrections (eV/atom): 0.201
Total magnetization (Bohr magnetons per cell): 0.00
E_tot (Ha/atom): -0.1600

Computed, not measured: an optimized crystal structure of SbP2Au at the PBE level of DFT.

a = 3.4490 Å, b = 4.8855 Å, c = 4.5289 Å
α = 90.00°, β = 90.00°, γ = 90.00°
Last column: nearest neighbours and their distance in Å.
Atoms (fractional coordinates):
P: 0.5000 0.5000 0.0000  4 Au 2.85, 4 P 2.99
P: 0.0000 0.0000 0.0000  4 Sb 2.85, 4 P 2.99
Au: 0.0000 0.5000 0.5000  4 P 2.85, 4 Sb 2.99
Sb: 0.5000 0.0000 0.5000  4 P 2.85, 4 Au 2.99

Formation energy without anion corrections (eV/atom): 0.598
Total magnetization (Bohr magnetons per cell): 0.00
E_tot (Ha/atom): -0.1454